1.
YIn2Pb PBE optimized geometry; crystal system = tetragonal; volume = 116.8 Å³/f.u.; M_tot = 0.000 μB per atom; ΔE_f = -0.13 eV/atom
1.0
-3.670 -0.339 7.778
-7.585 -1.781 -3.657
-4.985 -4.142 2.229
Pb Y In
2 2 4
direct
0.000 0.000 0.000 Pb
0.750 0.250 0.500 Pb
0.500 0.500 0.000 Y
0.250 0.750 0.500 Y
0.640 0.125 0.250 In
0.110 0.625 0.250 In
0.375 0.360 0.750 In
0.875 0.890 0.750 In


2.
Y2In2Pb PBE optimized geometry; crystal system = tetragonal; volume = 146.2 Å³/f.u.; M_tot = 0.000 μB per atom; ΔE_f = -0.26 eV/atom; excess energy over the best structure of this formula in the dataset = 0.120 eV/atom
1.0
8.615 0.000 0.000
0.000 8.615 0.000
0.000 0.000 3.940
Pb Y In
2 4 4
direct
0.000 0.000 0.000 Pb
0.500 0.500 0.000 Pb
0.326 0.826 0.000 Y
0.826 0.674 0.000 Y
0.674 0.174 0.000 Y
0.174 0.326 0.000 Y
0.128 0.628 0.500 In
0.628 0.872 0.500 In
0.872 0.372 0.500 In
0.372 0.128 0.500 In


3.
YInPb2 PBE optimized geometry; crystal system = cubic; volume = 118.4 Å³/f.u.; M_tot = 0.000 μB per atom; ΔE_f = -0.12 eV/atom
1.0
-4.708 0.184 2.862
-2.892 -4.616 0.849
-0.247 -2.209 5.044
In Pb Y
1 2 1
direct
0.500 0.500 0.500 In
0.000 0.000 0.000 Pb
0.250 0.250 0.250 Pb
0.750 0.750 0.750 Y


4.
Y3InPb3 PBE optimized geometry; crystal system = hexagonal; volume = 202.2 Å³/f.u.; M_tot = 0.000 μB per atom; ΔE_f = -0.32 eV/atom
1.0
-4.009 3.803 1.865
-6.477 -5.188 -3.347
2.786 -1.192 8.420
Y In Pb
6 2 6
direct
0.750 0.643 0.551 Y
0.750 0.449 0.092 Y
0.750 0.908 0.357 Y
0.250 0.357 0.449 Y
0.250 0.551 0.908 Y
0.250 0.092 0.643 Y
0.250 0.667 0.333 In
0.750 0.333 0.667 In
0.250 0.795 0.737 Pb
0.250 0.263 0.058 Pb
0.250 0.942 0.205 Pb
0.750 0.205 0.263 Pb
0.750 0.737 0.942 Pb
0.750 0.058 0.795 Pb


5.
Y2InPb2 PBE optimized geometry; crystal system = tetragonal; volume = 155.6 Å³/f.u.; M_tot = 0.000 μB per atom; ΔE_f = -0.11 eV/atom; excess energy over the best structure of this formula in the dataset = 0.269 eV/atom
1.0
-0.810 2.894 3.096
-2.756 -2.754 1.854
4.455 -3.087 7.058
Pb Y In
2 2 1
direct
0.750 0.250 0.500 Pb
0.250 0.750 0.500 Pb
0.399 0.399 0.202 Y
0.601 0.601 0.798 Y
0.000 0.000 0.000 In


6.
YInPb2 PBE optimized geometry; crystal system = monoclinic; volume = 115.2 Å³/f.u.; M_tot = 0.000 μB per atom; ΔE_f = -0.19 eV/atom
1.0
5.547 0.000 0.000
0.000 3.408 -0.002
0.000 0.072 6.092
In Pb Y
1 2 1
direct
0.500 0.750 0.750 In
0.000 0.900 0.006 Pb
0.000 0.600 0.494 Pb
0.500 0.250 0.250 Y


7.
Y3In2Pb PBE optimized geometry; crystal system = tetragonal; volume = 164.4 Å³/f.u.; M_tot = 0.000 μB per atom; ΔE_f = -0.46 eV/atom
1.0
-1.587 -2.865 -2.018
2.692 -2.415 1.312
-6.481 -2.516 8.670
Y In Pb
3 2 1
direct
0.000 0.000 0.000 Y
0.000 0.000 0.671 Y
0.000 0.000 0.329 Y
0.500 0.500 0.838 In
0.500 0.500 0.162 In
0.500 0.500 0.500 Pb


8.
YInPb2 PBE optimized geometry; crystal system = tetragonal; volume = 111.4 Å³/f.u.; M_tot = 0.000 μB per atom; ΔE_f = -0.32 eV/atom
1.0
-0.324 -3.980 2.777
4.499 -1.289 -1.323
1.762 2.403 3.649
Pb Y In
2 1 1
direct
0.000 0.000 0.000 Pb
0.500 0.500 0.000 Pb
0.500 0.000 0.500 Y
0.000 0.500 0.500 In


9.
YIn2Pb PBE optimized geometry; crystal system = trigonal; volume = 115.0 Å³/f.u.; M_tot = 0.000 μB per atom; ΔE_f = -0.13 eV/atom
1.0
-4.263 -1.844 9.339
-3.688 -5.228 8.237
-1.032 -3.371 9.816
In Pb Y
2 1 1
direct
0.999 0.999 0.999 In
0.252 0.252 0.252 In
0.501 0.501 0.501 Pb
0.749 0.749 0.749 Y


10.
YIn2Pb PBE optimized geometry; crystal system = orthorhombic; volume = 110.5 Å³/f.u.; M_tot = 0.000 μB per atom; ΔE_f = -0.25 eV/atom
1.0
-2.392 1.136 -2.595
1.979 -2.702 -3.008
-4.138 -4.891 1.672
In Pb Y
2 1 1
direct
0.000 0.000 0.002 In
0.500 0.500 0.242 In
0.000 0.000 0.505 Pb
0.500 0.500 0.751 Y


11.
Y6In5Pb PBE optimized geometry; crystal system = monoclinic; volume = 324.2 Å³/f.u.; M_tot = 0.000 μB per atom; ΔE_f = -0.48 eV/atom
1.0
-2.234 2.521 -4.208
8.854 -1.700 -2.257
-5.714 -6.950 2.329
Y Pb In
6 1 5
direct
0.251 0.084 0.418 Y
0.749 0.582 0.916 Y
0.751 0.251 0.251 Y
0.249 0.749 0.749 Y
0.251 0.418 0.084 Y
0.749 0.916 0.582 Y
0.000 0.000 0.000 Pb
0.500 0.169 0.831 In
0.000 0.333 0.667 In
0.500 0.500 0.500 In
0.000 0.667 0.333 In
0.500 0.831 0.169 In


12.
YInPb2 PBE optimized geometry; crystal system = trigonal; volume = 126.5 Å³/f.u.; M_tot = 0.000 μB per atom; ΔE_f = -0.08 eV/atom
1.0
-2.413 -3.620 1.973
1.990 -2.571 3.500
-2.602 1.945 6.169
Y In Pb
1 1 2
direct
0.670 0.670 0.990 Y
0.496 0.496 0.512 In
0.081 0.081 0.756 Pb
0.253 0.253 0.242 Pb


- The highest ΔE_f belongs to which entry?
  number 12